No. 1
Compound: GeAs2S
Source: Alexandria via LeMat-Bulk
Functional: GGA-PBE
Structure: optimized geometry

a b c (Å): 6.640 6.640 6.640
angles (deg): 90.00 90.00 90.00
Space group Fm-3m (No. 225)
Asymmetric unit:
Ge 0.000 0.000 0.000 [4 per cell]
As 0.250 0.250 0.250 [8 per cell]
S 0.000 0.000 0.500 [4 per cell]

Excess energy over the best structure of this formula in the dataset in eV/atom: 0.158
Uncorrected formation energy in kJ/mol of formula units: 184
Calculated total energy in Ry per atom: -0.296
Crystal system: cubic



No. 2
Compound: Ge3AsS
Source: Alexandria via LeMat-Bulk
Functional: GGA-PBE
Structure: optimized geometry

a b c (Å): 4.930 4.930 4.930
angles (deg): 90.00 90.00 90.00
Space group Pm-3m (No. 221)
Asymmetric unit:
Ge 0.000 0.000 0.500 [3 per cell]
As 0.500 0.500 0.500 [1 per cell]
S 0.000 0.000 0.000 [1 per cell]

Excess energy over the best structure of this formula in the dataset in eV/atom: 0.000
Uncorrected formation energy in kJ/mol of formula units: 285
Calculated total energy in Ry per atom: -0.289
Crystal system: cubic



No. 3
Compound: GeAsS2
Source: Alexandria via LeMat-Bulk
Functional: GGA-PBE
Structure: optimized geometry

a b c (Å): 6.583 6.583 6.583
angles (deg): 90.00 90.00 90.00
Space group Fm-3m (No. 225)
Asymmetric unit:
Ge 0.000 0.000 0.000 [4 per cell]
As 0.000 0.000 0.500 [4 per cell]
S 0.250 0.250 0.250 [8 per cell]

Excess energy over the best structure of this formula in the dataset in eV/atom: 0.291
Uncorrected formation energy in kJ/mol of formula units: 127
Calculated total energy in Ry per atom: -0.298
Crystal system: cubic



No. 4
Compound: GeAs2S6
Source: Alexandria via LeMat-Bulk
Functional: GGA-PBE
Structure: optimized geometry

a b c (Å): 5.801 5.801 11.179
angles (deg): 90.00 90.00 90.00
Space group P4_2/mnm (No. 136)
Asymmetric unit:
Ge 0.000 0.000 0.000 [2 per cell]
As 0.000 0.000 0.335 [4 per cell]
S 0.192 0.192 0.164 [8 per cell]
S 0.197 0.197 0.500 [4 per cell]

Uncorrected formation energy in kJ/mol of formula units: 166
Calculated total energy in Ry per atom: -0.302
Crystal system: tetragonal



No. 5
Compound: GeAsS
Source: Alexandria via LeMat-Bulk
Functional: GGA-PBE
Structure: optimized geometry

a b c (Å): 13.408 3.622 7.663
angles (deg): 90.00 124.56 90.00
Space group C2/m (No. 12)
Asymmetric unit:
Ge 0.207 0.000 0.284 [4 per cell]
As 0.079 0.500 0.979 [4 per cell]
S 0.137 0.000 0.501 [4 per cell]

Excess energy over the best structure of this formula in the dataset in eV/atom: 0.063
Uncorrected formation energy in kJ/mol of formula units: 7
Calculated total energy in Ry per atom: -0.326
Crystal system: monoclinic



No. 6
Compound: GeAsS
Source: Alexandria via LeMat-Bulk
Functional: GGA-PBE
Structure: optimized geometry

a b c (Å): 3.7502 3.7502 4.7413
angles (deg): 90.00 90.00 120.00
Space group P3m1 (No. 156)
Asymmetric unit:
Ge 0.0000 0.0000 0.0000 [1 per cell]
As 0.3333 0.6667 0.6982 [1 per cell]
S 0.6667 0.3333 0.3253 [1 per cell]

Excess energy over the best structure of this formula in the dataset in eV/atom: 0.191
Uncorrected formation energy in kJ/mol of formula units: 44
Calculated total energy in Ry per atom: -0.317
Crystal system: trigonal



No. 7
Compound: GeAsS2
Source: Alexandria via LeMat-Bulk
Functional: GGA-PBE
Structure: optimized geometry

a b c (Å): 7.898 9.267 5.476
angles (deg): 90.00 90.00 90.00
Space group Pna2_1 (No. 33)
Asymmetric unit:
Ge 0.042 0.118 0.000 [4 per cell]
As 0.003 0.504 0.583 [4 per cell]
S 0.048 0.111 0.586 [4 per cell]
S 0.168 0.704 0.618 [4 per cell]

Excess energy over the best structure of this formula in the dataset in eV/atom: 0.000
Uncorrected formation energy in kJ/mol of formula units: 14
Calculated total energy in Ry per atom: -0.319
Crystal system: orthorhombic



No. 8
Compound: GeAsS2
Source: Alexandria via LeMat-Bulk
Functional: GGA-PBE
Structure: optimized geometry

a b c (Å): 3.5290 3.5290 23.6449
angles (deg): 90.00 90.00 120.00
Space group R-3m (No. 166, hexagonal axes)
Asymmetric unit:
Ge 0.0000 0.0000 0.0000 [3 per cell]
As 0.0000 0.0000 0.5000 [3 per cell]
S 0.0000 0.0000 0.3961 [6 per cell]

Excess energy over the best structure of this formula in the dataset in eV/atom: 0.037
Uncorrected formation energy in kJ/mol of formula units: 28
Calculated total energy in Ry per atom: -0.317
Crystal system: trigonal



No. 9
Compound: GeAsS3
Source: Alexandria via LeMat-Bulk
Functional: GGA-PBE
Structure: optimized geometry

a b c (Å): 4.745 4.745 4.745
angles (deg): 90.00 90.00 90.00
Space group Pm-3m (No. 221)
Asymmetric unit:
Ge 0.000 0.000 0.000 [1 per cell]
As 0.500 0.500 0.500 [1 per cell]
S 0.000 0.500 0.500 [3 per cell]

Excess energy over the best structure of this formula in the dataset in eV/atom: 0.519
Uncorrected formation energy in kJ/mol of formula units: 222
Calculated total energy in Ry per atom: -0.284
Crystal system: cubic



No. 10
Compound: GeAsS2
Source: Alexandria via LeMat-Bulk
Functional: GGA-PBE
Structure: optimized geometry

a b c (Å): 5.019 5.019 14.811
angles (deg): 90.00 90.00 90.00
Space group I-42d (No. 122)
Asymmetric unit:
Ge 0.000 0.000 0.000 [4 per cell]
As 0.000 0.000 0.500 [4 per cell]
S 0.240 0.250 0.625 [8 per cell]

Excess energy over the best structure of this formula in the dataset in eV/atom: 0.183
Uncorrected formation energy in kJ/mol of formula units: 85
Calculated total energy in Ry per atom: -0.306
Crystal system: tetragonal



No. 11
Compound: GeAsS
Source: Alexandria via LeMat-Bulk
Functional: GGA-PBE
Structure: optimized geometry

a b c (Å): 3.701 3.701 10.061
angles (deg): 90.00 90.00 90.00
Space group I4mm (No. 107)
Asymmetric unit:
Ge 0.000 0.000 0.000 [2 per cell]
As 0.000 0.000 0.371 [2 per cell]
S 0.000 0.000 0.596 [2 per cell]

Excess energy over the best structure of this formula in the dataset in eV/atom: 0.258
Uncorrected formation energy in kJ/mol of formula units: 63
Calculated total energy in Ry per atom: -0.312
Crystal system: tetragonal



No. 12
Compound: GeSb2AsS
Source: Alexandria via LeMat-Bulk
Functional: GGA-PBE
Structure: optimized geometry

a b c (Å): 5.389 5.389 4.544
angles (deg): 90.00 90.00 90.00
Space group P4/mmm (No. 123)
Asymmetric unit:
Ge 0.000 0.000 0.000 [1 per cell]
Sb 0.000 0.500 0.000 [2 per cell]
As 0.500 0.500 0.500 [1 per cell]
S 0.000 0.000 0.500 [1 per cell]

Uncorrected formation energy in kJ/mol of formula units: 316
Calculated total energy in Ry per atom: -0.270
Crystal system: tetragonal



No. 13
Compound: Sc4GeAs2S
Source: Alexandria via LeMat-Bulk
Functional: GGA-PBE
Structure: optimized geometry

a b c (Å): 6.654 3.826 6.685
angles (deg): 90.00 109.23 90.00
Space group P2/m (No. 10)
Asymmetric unit:
Sc 0.248 0.000 0.251 [2 per cell]
Sc 0.249 0.500 0.752 [2 per cell]
Ge 0.000 0.000 0.500 [1 per cell]
As 0.500 0.000 0.000 [1 per cell]
As 0.500 0.500 0.500 [1 per cell]
S 0.000 0.500 0.000 [1 per cell]

Uncorrected formation energy in kJ/mol of formula units: -1047
Calculated total energy in Ry per atom: -0.498
Crystal system: monoclinic



No. 14
Compound: Sc6GeAs2S3
Source: Alexandria via LeMat-Bulk
Functional: GGA-PBE
Structure: optimized geometry

a b c (Å): 16.558 3.794 7.602
angles (deg): 90.00 103.38 90.00
Space group C2/m (No. 12)
Asymmetric unit:
Sc 0.001 0.000 0.250 [4 per cell]
Sc 0.166 0.500 0.580 [4 per cell]
Sc 0.167 0.500 0.084 [4 per cell]
Ge 0.000 0.500 0.500 [2 per cell]
As 0.167 0.000 0.833 [4 per cell]
S 0.000 0.500 0.000 [2 per cell]
S 0.168 0.000 0.332 [4 per cell]

Uncorrected formation energy in kJ/mol of formula units: -1793
Calculated total energy in Ry per atom: -0.508
Crystal system: monoclinic



No. 15
Compound: Sc4GeAsS2
Source: Alexandria via LeMat-Bulk
Functional: GGA-PBE
Structure: optimized geometry

a b c (Å): 6.571 3.795 6.592
angles (deg): 90.00 109.33 90.00
Space group P2/m (No. 10)
Asymmetric unit:
Sc 0.247 0.000 0.249 [2 per cell]
Sc 0.249 0.500 0.752 [2 per cell]
Ge 0.000 0.000 0.500 [1 per cell]
As 0.500 0.500 0.500 [1 per cell]
S 0.000 0.500 0.000 [1 per cell]
S 0.500 0.000 0.000 [1 per cell]

Uncorrected formation energy in kJ/mol of formula units: -1161
Calculated total energy in Ry per atom: -0.504
Crystal system: monoclinic



No. 16
Compound: Tb8GeAs4S3
Source: Alexandria via LeMat-Bulk
Functional: GGA-PBE
Structure: optimized geometry

a b c (Å): 8.1507 8.1507 19.9075
angles (deg): 90.00 90.00 120.00
Space group R-3m (No. 166, hexagonal axes)
Asymmetric unit:
Tb 0.0000 0.0000 0.2504 [6 per cell]
Tb 0.0010 0.5005 0.2493 [18 per cell]
Ge 0.0000 0.0000 0.5000 [3 per cell]
As 0.0000 0.0000 0.0000 [3 per cell]
As 0.0000 0.5000 0.0000 [9 per cell]
S 0.0000 0.5000 0.5000 [9 per cell]

Uncorrected formation energy in kJ/mol of formula units: -2585
Calculated total energy in Ry per atom: -0.457
Crystal system: trigonal



No. 17
Compound: Tb6GeAs2S3
Source: Alexandria via LeMat-Bulk
Functional: GGA-PBE
Structure: optimized geometry

a b c (Å): 17.632 4.064 8.077
angles (deg): 90.00 102.82 90.00
Space group C2/m (No. 12)
Asymmetric unit:
Tb 0.001 0.000 0.252 [4 per cell]
Tb 0.165 0.500 0.581 [4 per cell]
Tb 0.166 0.500 0.084 [4 per cell]
Ge 0.000 0.500 0.500 [2 per cell]
As 0.167 0.000 0.834 [4 per cell]
S 0.000 0.500 0.000 [2 per cell]
S 0.168 0.000 0.332 [4 per cell]

Uncorrected formation energy in kJ/mol of formula units: -1969
Calculated total energy in Ry per atom: -0.456
Crystal system: monoclinic



No. 18
Compound: Tb6GeAs3S2
Source: Alexandria via LeMat-Bulk
Functional: GGA-PBE
Structure: optimized geometry

a b c (Å): 17.774 4.083 8.171
angles (deg): 90.00 103.14 90.00
Space group C2/m (No. 12)
Asymmetric unit:
Tb 0.001 0.000 0.249 [4 per cell]
Tb 0.166 0.500 0.082 [4 per cell]
Tb 0.166 0.500 0.584 [4 per cell]
Ge 0.000 0.500 0.000 [2 per cell]
As 0.000 0.500 0.500 [2 per cell]
As 0.168 0.000 0.831 [4 per cell]
S 0.169 0.000 0.337 [4 per cell]

Uncorrected formation energy in kJ/mol of formula units: -1871
Calculated total energy in Ry per atom: -0.453
Crystal system: monoclinic



No. 19
Compound: Tb6Ge2AsS3
Source: Alexandria via LeMat-Bulk
Functional: GGA-PBE
Structure: optimized geometry

a b c (Å): 17.662 4.071 8.107
angles (deg): 90.00 102.82 90.00
Space group C2/m (No. 12)
Asymmetric unit:
Tb 0.001 0.000 0.251 [4 per cell]
Tb 0.167 0.500 0.086 [4 per cell]
Tb 0.167 0.500 0.583 [4 per cell]
Ge 0.167 0.000 0.333 [4 per cell]
As 0.000 0.500 0.000 [2 per cell]
S 0.000 0.500 0.500 [2 per cell]
S 0.165 0.000 0.834 [4 per cell]

Uncorrected formation energy in kJ/mol of formula units: -1841
Calculated total energy in Ry per atom: -0.448
Crystal system: monoclinic



No. 20
Compound: Tb4GeAsS2
Source: Alexandria via LeMat-Bulk
Functional: GGA-PBE
Structure: optimized geometry

a b c (Å): 8.109 8.111 11.473
angles (deg): 90.00 90.00 90.00
Space group Imma (No. 74)
Asymmetric unit:
Tb 0.000 0.001 0.249 [8 per cell]
Tb 0.250 0.250 0.002 [8 per cell]
Ge 0.250 0.250 0.250 [4 per cell]
As 0.000 0.000 0.500 [4 per cell]
S 0.000 0.000 0.000 [4 per cell]
S 0.250 0.250 0.750 [4 per cell]

Uncorrected formation energy in kJ/mol of formula units: -1275
Calculated total energy in Ry per atom: -0.453
Crystal system: orthorhombic



No. 21
Compound: Th4GeAsS2
Source: Alexandria via LeMat-Bulk
Functional: GGA-PBE
Structure: optimized geometry

a b c (Å): 7.136 4.196 7.269
angles (deg): 90.00 109.88 90.00
Space group P2/m (No. 10)
Asymmetric unit:
Th 0.240 0.000 0.245 [2 per cell]
Th 0.241 0.500 0.749 [2 per cell]
Ge 0.500 0.000 0.000 [1 per cell]
As 0.500 0.500 0.500 [1 per cell]
S 0.000 0.000 0.500 [1 per cell]
S 0.000 0.500 0.000 [1 per cell]

Uncorrected formation energy in kJ/mol of formula units: -1139
Calculated total energy in Ry per atom: -0.542
Crystal system: monoclinic



No. 22
Compound: Th6Ge3As2S
Source: Alexandria via LeMat-Bulk
Functional: GGA-PBE
Structure: optimized geometry

a b c (Å): 18.502 4.265 8.479
angles (deg): 90.00 102.75 90.00
Space group C2/m (No. 12)
Asymmetric unit:
Th 0.001 0.000 0.252 [4 per cell]
Th 0.166 0.500 0.085 [4 per cell]
Th 0.166 0.500 0.582 [4 per cell]
Ge 0.000 0.500 0.000 [2 per cell]
Ge 0.167 0.000 0.334 [4 per cell]
As 0.166 0.000 0.833 [4 per cell]
S 0.000 0.500 0.500 [2 per cell]

Uncorrected formation energy in kJ/mol of formula units: -1354
Calculated total energy in Ry per atom: -0.526
Crystal system: monoclinic



No. 23
Compound: Th6Ge2AsS3
Source: Alexandria via LeMat-Bulk
Functional: GGA-PBE
Structure: optimized geometry

a b c (Å): 18.079 4.212 8.271
angles (deg): 90.00 101.83 90.00
Space group C2/m (No. 12)
Asymmetric unit:
Th 0.002 0.000 0.243 [4 per cell]
Th 0.165 0.500 0.089 [4 per cell]
Th 0.169 0.500 0.579 [4 per cell]
Ge 0.166 0.000 0.832 [4 per cell]
As 0.000 0.500 0.500 [2 per cell]
S 0.000 0.500 0.000 [2 per cell]
S 0.167 0.000 0.334 [4 per cell]

Uncorrected formation energy in kJ/mol of formula units: -1649
Calculated total energy in Ry per atom: -0.538
Crystal system: monoclinic